Below is a relaxed YAs2Cl crystal, with properties calculated at the GGA-PBE level.

a = 3.6225 Å, b = 3.6225 Å, c = 28.7775 Å
α = 90.00°, β = 90.00°, γ = 120.00°
Space group R3m (No. 160, hexagonal axes)
Asymmetric unit:
Y (0.0000, 0.0000, 0.0000) [3 per cell]
As (0.0000, 0.0000, 0.4677) [3 per cell]
As (0.0000, 0.0000, 0.7490) [3 per cell]
Cl (0.0000, 0.0000, 0.2718) [3 per cell]

Output
**Offset from the most stable computed form**: 1.40 eV/f.u.
**D(E_F)**: 0.711 states/eV per atom
**VASP energy**: -5.070 eV per atom



Below is a relaxed Ti2TeH crystal, with properties calculated at the GGA-PBE level.

a = 6.3533 Å, b = 6.3533 Å, c = 6.3533 Å
α = 90.00°, β = 90.00°, γ = 90.00°
Space group Fm-3m (No. 225)
Asymmetric unit:
Ti (0.2500, 0.2500, 0.2500) [8 per cell]
Te (0.0000, 0.0000, 0.0000) [4 per cell]
H (0.0000, 0.0000, 0.5000) [4 per cell]

Output
**Offset from the most stable computed form**: 2.53 eV/f.u.
**D(E_F)**: 0.759 states/eV per atom
**VASP energy**: -5.463 eV per atom



Below is a relaxed Pu2Sn8Ir crystal, with properties calculated at the GGA-PBE level.

a = 4.6779 Å, b = 4.6779 Å, c = 12.3453 Å
α = 90.00°, β = 90.00°, γ = 90.00°
Space group P4/mmm (No. 123)
Asymmetric unit:
Pu (0.0000, 0.0000, 0.1893) [2 per cell]
Sn (0.0000, 0.5000, 0.0000) [2 per cell]
Sn (0.0000, 0.5000, 0.3753) [4 per cell]
Sn (0.5000, 0.5000, 0.1891) [2 per cell]
Ir (0.0000, 0.0000, 0.5000) [1 per cell]

Output
**DFT formation energy**: -3.2 eV per formula unit
**D(E_F)**: 1.882 states/eV per atom
**VASP energy**: -6.612 eV per atom



Below is a relaxed KIn2Tc crystal, with properties calculated at the GGA-PBE level.

a = 3.0843 Å, b = 4.5383 Å, c = 8.2241 Å
α = 90.00°, β = 90.11°, γ = 90.00°
Space group Pm (No. 6)
Asymmetric unit:
K (0.0000, 0.0000, 0.0000) [1 per cell]
In (0.4997, 0.0000, 0.3867) [1 per cell]
In (0.5005, 0.5000, 0.6824) [1 per cell]
Tc (0.9997, 0.5000, 0.3998) [1 per cell]

Output
**DFT formation energy**: 1.4 eV per formula unit
**Offset from the most stable computed form**: 0.17 eV/f.u.
**D(E_F)**: 0.799 states/eV per atom
**VASP energy**: -3.892 eV per atom



Below is a relaxed ZnHgPO2 crystal, with properties calculated at the GGA-PBE level.

a = 4.0801 Å, b = 4.0801 Å, c = 5.4255 Å
α = 90.00°, β = 90.00°, γ = 90.00°
Space group P4/mmm (No. 123)
Asymmetric unit:
Zn (0.0000, 0.0000, 0.0000) [1 per cell]
Hg (0.0000, 0.0000, 0.5000) [1 per cell]
P (0.5000, 0.5000, 0.0000) [1 per cell]
O (0.0000, 0.5000, 0.5000) [2 per cell]

Output
**Offset from the most stable computed form**: 5.78 eV/f.u.
**D(E_F)**: 0.642 states/eV per atom
**VASP energy**: -2.557 eV per atom



Below is a relaxed Pr2DyAlO crystal, with properties calculated at the GGA-PBE level.

a = 5.0103 Å, b = 5.0103 Å, c = 4.6912 Å
α = 90.00°, β = 90.00°, γ = 90.00°
Space group P4/mmm (No. 123)
Asymmetric unit:
Pr (0.0000, 0.5000, 0.0000) [2 per cell]
Dy (0.0000, 0.0000, 0.5000) [1 per cell]
Al (0.5000, 0.5000, 0.5000) [1 per cell]
O (0.0000, 0.0000, 0.0000) [1 per cell]

Output
**D(E_F)**: 0.442 states/eV per atom
**VASP energy**: -5.885 eV per atom



Below is a relaxed CePmBr4 crystal, with properties calculated at the GGA-PBE level.

a = 8.1629 Å, b = 8.2207 Å, c = 11.5687 Å
α = 90.00°, β = 90.00°, γ = 90.00°
Space group Imma (No. 74)
Asymmetric unit:
Ce (0.0000, 0.0000, 0.0000) [4 per cell]
Pm (0.2500, 0.2500, 0.2500) [4 per cell]
Br (0.0000, 0.0135, 0.7395) [8 per cell]
Br (0.2309, 0.2500, 0.5064) [8 per cell]

Output
**Offset from the most stable computed form**: 0.08 eV/f.u.
**D(E_F)**: 1.489 states/eV per atom
**VASP energy**: -4.511 eV per atom



Below is a relaxed Pr2Y3TmSe6 crystal, with properties calculated at the GGA-PBE level.

a = 18.0278 Å, b = 4.1088 Å, c = 8.3349 Å
α = 90.00°, β = 103.19°, γ = 90.00°
Space group C2/m (No. 12)
Asymmetric unit:
Pr (0.1698, 0.0000, 0.3375) [4 per cell]
Y (0.0000, 0.5000, 0.5000) [2 per cell]
Y (0.1726, 0.0000, 0.8345) [4 per cell]
Tm (0.0000, 0.5000, 0.0000) [2 per cell]
Se (0.0045, 0.0000, 0.7581) [4 per cell]
Se (0.1613, 0.5000, 0.5922) [4 per cell]
Se (0.1619, 0.5000, 0.0707) [4 per cell]

Output
**D(E_F)**: 0.493 states/eV per atom
**VASP energy**: -6.300 eV per atom